## w
Here is a relaxed structure of TbTlTe4Au3 from OQMD via LeMat-Bulk. Energies are from GGA-PBE.

Summary:
Calculated density   7.97 Mg/m³
SG   P-43m, No. 215

a b c (Å): 6.733 6.733 6.733
angles (deg): 90.00 90.00 90.00
Element x y z (fractional)
Tb: 0.000 0.000 0.000
Tl: 0.500 0.500 0.500
Te: 0.246 0.246 0.754
Te: 0.246 0.754 0.246
Te: 0.754 0.246 0.246
Te: 0.754 0.754 0.754
Au: 0.000 0.000 0.500
Au: 0.000 0.500 0.000
Au: 0.500 0.000 0.000

***

## x
Here is a relaxed structure of TbTlTe4Au3 from OQMD via LeMat-Bulk. Energies are from GGA-PBE.

Summary:
Calculated density   8.95 Mg/m³
SG   P2_1/m, No. 11

a b c (Å): 6.277 8.170 11.001
angles (deg): 90.00 105.54 90.00
Element x y z (fractional)
Tb: 0.100 0.250 0.317
Tb: 0.900 0.750 0.683
Tl: 0.253 0.250 0.934
Tl: 0.747 0.750 0.066
Te: 0.066 0.250 0.589
Te: 0.192 0.750 0.946
Te: 0.365 0.533 0.266
Te: 0.365 0.967 0.266
Te: 0.635 0.033 0.734
Te: 0.635 0.467 0.734
Te: 0.808 0.250 0.054
Te: 0.934 0.750 0.411
Au: 0.296 0.561 0.526
Au: 0.296 0.939 0.526
Au: 0.426 0.750 0.772
Au: 0.574 0.250 0.228
Au: 0.704 0.061 0.474
Au: 0.704 0.439 0.474

***

The most stable of them is x.

***

## w
Here is a relaxed structure of TbTmAu from OQMD via LeMat-Bulk. Energies are from GGA-PBE.

Summary:
Calculated density   10.38 Mg/m³
SG   F-43m, No. 216

a b c (Å): 4.914 4.914 4.914
angles (deg): 60.00 60.00 60.00
Element x y z (fractional)
Tb: 0.000 0.000 0.000
Tm: 0.500 0.500 0.500
Au: 0.250 0.250 0.250

***

## x
Here is a relaxed structure of TbTmAu from OQMD via LeMat-Bulk. Energies are from GGA-PBE.

Summary:
Calculated density   11.28 Mg/m³
SG   Pnma, No. 62

a b c (Å): 7.104 4.916 8.846
angles (deg): 90.00 90.00 90.00
Element x y z (fractional)
Tb: 0.014 0.250 0.177
Tb: 0.486 0.750 0.677
Tb: 0.514 0.250 0.323
Tb: 0.986 0.750 0.823
Tm: 0.148 0.250 0.580
Tm: 0.352 0.750 0.080
Tm: 0.648 0.250 0.920
Tm: 0.852 0.750 0.420
Au: 0.247 0.250 0.901
Au: 0.253 0.750 0.401
Au: 0.747 0.250 0.599
Au: 0.753 0.750 0.099

***

The most stable of them is x.

***

## w
Here is a relaxed structure of TeAu15 from OQMD via LeMat-Bulk. Energies are from GGA-PBE.

Summary:
Calculated density   12.61 Mg/m³
SG   P2_1/m, No. 11

a b c (Å): 5.753 4.085 34.552
angles (deg): 90.00 90.01 90.00
Element x y z (fractional)
Te: 0.132 0.250 0.161
Te: 0.868 0.750 0.839
Au: 0.123 0.250 0.259
Au: 0.124 0.250 0.346
Au: 0.124 0.250 0.787
Au: 0.125 0.250 0.434
Au: 0.125 0.250 0.522
Au: 0.125 0.250 0.610
Au: 0.128 0.250 0.698
Au: 0.365 0.750 0.829
Au: 0.368 0.750 0.210
Au: 0.374 0.750 0.302
Au: 0.375 0.750 0.390
Au: 0.375 0.750 0.478
Au: 0.375 0.750 0.566
Au: 0.376 0.750 0.654
Au: 0.380 0.750 0.743
Au: 0.620 0.250 0.257
Au: 0.624 0.250 0.346
Au: 0.625 0.250 0.434
Au: 0.625 0.250 0.522
Au: 0.625 0.250 0.610
Au: 0.626 0.250 0.698
Au: 0.632 0.250 0.790
Au: 0.635 0.250 0.171
Au: 0.872 0.750 0.302
Au: 0.875 0.750 0.390
Au: 0.875 0.750 0.478
Au: 0.875 0.750 0.566
Au: 0.876 0.750 0.213
Au: 0.876 0.750 0.654
Au: 0.877 0.750 0.741

***

## x
Here is a relaxed structure of TeAu15 from OQMD via LeMat-Bulk. Energies are from GGA-PBE.

Summary:
Calculated density   14.14 Mg/m³
SG   P2, No. 3

a b c (Å): 4.153 42.664 8.169
angles (deg): 90.00 90.39 90.00
Element x y z (fractional)
Te: 0.247 0.000 0.181
Te: 0.252 0.755 0.818
Te: 0.748 0.755 0.182
Te: 0.753 0.000 0.819
Au: 0.248 0.750 0.389
Au: 0.249 0.647 0.877
Au: 0.250 0.058 0.881
Au: 0.250 0.060 0.370
Au: 0.250 0.108 0.123
Au: 0.250 0.108 0.624
Au: 0.250 0.157 0.873
Au: 0.250 0.158 0.375
Au: 0.250 0.206 0.124
Au: 0.250 0.207 0.625
Au: 0.250 0.256 0.374
Au: 0.250 0.256 0.875
Au: 0.250 0.304 0.125
Au: 0.250 0.304 0.625
Au: 0.250 0.353 0.375
Au: 0.250 0.353 0.875
Au: 0.250 0.402 0.125
Au: 0.250 0.402 0.625
Au: 0.250 0.451 0.375
Au: 0.250 0.451 0.875
Au: 0.250 0.499 0.125
Au: 0.250 0.499 0.626
Au: 0.250 0.548 0.376
Au: 0.250 0.548 0.876
Au: 0.250 0.597 0.625
Au: 0.250 0.647 0.376
Au: 0.250 0.695 0.630
Au: 0.250 0.697 0.119
Au: 0.251 0.597 0.127
Au: 0.252 0.005 0.611
Au: 0.748 0.005 0.389
Au: 0.749 0.597 0.873
Au: 0.750 0.058 0.119
Au: 0.750 0.060 0.630
Au: 0.750 0.108 0.376
Au: 0.750 0.108 0.877
Au: 0.750 0.157 0.127
Au: 0.750 0.158 0.625
Au: 0.750 0.206 0.876
Au: 0.750 0.207 0.375
Au: 0.750 0.256 0.125
Au: 0.750 0.256 0.626
Au: 0.750 0.304 0.375
Au: 0.750 0.304 0.875
Au: 0.750 0.353 0.125
Au: 0.750 0.353 0.625
Au: 0.750 0.402 0.375
Au: 0.750 0.402 0.875
Au: 0.750 0.451 0.125
Au: 0.750 0.451 0.625
Au: 0.750 0.499 0.374
Au: 0.750 0.499 0.875
Au: 0.750 0.548 0.124
Au: 0.750 0.548 0.624
Au: 0.750 0.597 0.375
Au: 0.750 0.647 0.624
Au: 0.750 0.695 0.370
Au: 0.750 0.697 0.881
Au: 0.751 0.647 0.123
Au: 0.752 0.750 0.611

***

The most stable of them is x.

***

## w
Here is a relaxed structure of TeAu15 from OQMD via LeMat-Bulk. Energies are from GGA-PBE.

Summary:
Calculated density   13.99 Mg/m³
SG   P2_1/m, No. 11

a b c (Å): 5.734 2.910 43.857
angles (deg): 90.00 90.02 90.00
Element x y z (fractional)
Te: 0.126 0.250 0.121
Te: 0.874 0.750 0.879
Au: 0.124 0.250 0.233
Au: 0.124 0.250 0.815
Au: 0.125 0.250 0.330
Au: 0.125 0.250 0.427
Au: 0.125 0.250 0.524
Au: 0.125 0.250 0.621
Au: 0.125 0.250 0.718
Au: 0.371 0.750 0.184
Au: 0.374 0.750 0.864
Au: 0.375 0.750 0.282
Au: 0.375 0.750 0.379
Au: 0.375 0.750 0.476
Au: 0.375 0.750 0.573
Au: 0.375 0.750 0.670
Au: 0.376 0.750 0.767
Au: 0.624 0.250 0.233
Au: 0.625 0.250 0.330
Au: 0.625 0.250 0.427
Au: 0.625 0.250 0.524
Au: 0.625 0.250 0.621
Au: 0.625 0.250 0.718
Au: 0.626 0.250 0.136
Au: 0.629 0.250 0.816
Au: 0.875 0.750 0.282
Au: 0.875 0.750 0.379
Au: 0.875 0.750 0.476
Au: 0.875 0.750 0.573
Au: 0.875 0.750 0.670
Au: 0.876 0.750 0.185
Au: 0.876 0.750 0.767

***

## x
Here is a relaxed structure of TeAu15 from OQMD via LeMat-Bulk. Energies are from GGA-PBE.

Summary:
Calculated density   13.55 Mg/m³
SG   P2/c, No. 13

a b c (Å): 4.919 32.779 4.933
angles (deg): 90.00 108.21 90.00
Element x y z (fractional)
Te: 0.000 0.139 0.250
Te: 0.000 0.861 0.750
Au: 0.000 0.193 0.750
Au: 0.000 0.241 0.250
Au: 0.000 0.288 0.750
Au: 0.000 0.336 0.250
Au: 0.000 0.383 0.750
Au: 0.000 0.430 0.250
Au: 0.000 0.476 0.750
Au: 0.000 0.524 0.250
Au: 0.000 0.570 0.750
Au: 0.000 0.617 0.250
Au: 0.000 0.664 0.750
Au: 0.000 0.712 0.250
Au: 0.000 0.759 0.750
Au: 0.000 0.807 0.250
Au: 0.500 0.146 0.750
Au: 0.500 0.193 0.250
Au: 0.500 0.242 0.750
Au: 0.500 0.288 0.250
Au: 0.500 0.336 0.750
Au: 0.500 0.383 0.250
Au: 0.500 0.430 0.750
Au: 0.500 0.476 0.250
Au: 0.500 0.524 0.750
Au: 0.500 0.570 0.250
Au: 0.500 0.617 0.750
Au: 0.500 0.664 0.250
Au: 0.500 0.712 0.750
Au: 0.500 0.758 0.250
Au: 0.500 0.807 0.750
Au: 0.500 0.854 0.250

***

## y
Here is a relaxed structure of TeAu15 from OQMD via LeMat-Bulk. Energies are from GGA-PBE.

Summary:
Calculated density   12.46 Mg/m³
SG   P2_1/m, No. 11

a b c (Å): 8.086 2.924 34.739
angles (deg): 90.00 90.17 90.00
Element x y z (fractional)
Te: 0.125 0.250 0.335
Te: 0.875 0.750 0.665
Au: 0.117 0.250 0.715
Au: 0.125 0.250 0.065
Au: 0.125 0.250 0.152
Au: 0.125 0.250 0.238
Au: 0.125 0.250 0.892
Au: 0.125 0.250 0.978
Au: 0.127 0.250 0.804
Au: 0.366 0.750 0.285
Au: 0.375 0.750 0.022
Au: 0.375 0.750 0.108
Au: 0.375 0.750 0.761
Au: 0.375 0.750 0.848
Au: 0.375 0.750 0.935
Au: 0.376 0.750 0.196
Au: 0.376 0.750 0.677
Au: 0.624 0.250 0.323
Au: 0.624 0.250 0.804
Au: 0.625 0.250 0.065
Au: 0.625 0.250 0.152
Au: 0.625 0.250 0.239
Au: 0.625 0.250 0.892
Au: 0.625 0.250 0.978
Au: 0.634 0.250 0.715
Au: 0.873 0.750 0.196
Au: 0.875 0.750 0.022
Au: 0.875 0.750 0.108
Au: 0.875 0.750 0.762
Au: 0.875 0.750 0.848
Au: 0.875 0.750 0.935
Au: 0.883 0.750 0.285

***

The most stable of them is w.

***

## w
Here is a relaxed structure of ZrTlTe4Au3 from OQMD via LeMat-Bulk. Energies are from GGA-PBE.

Summary:
Calculated density   7.61 Mg/m³
SG   P-43m, No. 215

a b c (Å): 6.730 6.730 6.730
angles (deg): 90.00 90.00 90.00
Element x y z (fractional)
Zr: 0.000 0.000 0.000
Tl: 0.500 0.500 0.500
Te: 0.235 0.235 0.765
Te: 0.235 0.765 0.235
Te: 0.765 0.235 0.235
Te: 0.765 0.765 0.765
Au: 0.000 0.000 0.500
Au: 0.000 0.500 0.000
Au: 0.500 0.000 0.000

***

## x
Here is a relaxed structure of ZrTlTe4Au3 from OQMD via LeMat-Bulk. Energies are from GGA-PBE.

Summary:
Calculated density   8.66 Mg/m³
SG   P2_1/m, No. 11

a b c (Å): 6.450 8.139 10.677
angles (deg): 90.00 107.04 90.00
Element x y z (fractional)
Zr: 0.167 0.250 0.305
Zr: 0.833 0.750 0.695
Tl: 0.302 0.750 0.076
Tl: 0.698 0.250 0.924
Te: 0.102 0.026 0.748
Te: 0.102 0.474 0.748
Te: 0.277 0.250 0.071
Te: 0.470 0.250 0.559
Te: 0.530 0.750 0.441
Te: 0.723 0.750 0.929
Te: 0.898 0.526 0.252
Te: 0.898 0.974 0.252
Au: 0.207 0.555 0.496
Au: 0.207 0.945 0.496
Au: 0.352 0.750 0.730
Au: 0.648 0.250 0.270
Au: 0.793 0.055 0.504
Au: 0.793 0.445 0.504

***

The most stable of them is w.

***

## w
Here is a relaxed structure of ZrTlTe3Au from OQMD via LeMat-Bulk. Energies are from GGA-PBE.

Summary:
Calculated density   8.08 Mg/m³
SG   P2_1/m, No. 11

a b c (Å): 8.649 4.148 10.710
angles (deg): 90.00 110.61 90.00
Element x y z (fractional)
Zr: 0.211 0.250 0.177
Zr: 0.789 0.750 0.823
Tl: 0.223 0.750 0.712
Tl: 0.777 0.250 0.288
Te: 0.052 0.250 0.878
Te: 0.227 0.250 0.447
Te: 0.430 0.750 0.137
Te: 0.570 0.250 0.863
Te: 0.773 0.750 0.553
Te: 0.948 0.750 0.122
Au: 0.420 0.750 0.390
Au: 0.580 0.250 0.610

***

## x
Here is a relaxed structure of ZrTlTe3Au from OQMD via LeMat-Bulk. Energies are from GGA-PBE.

Summary:
Calculated density   8.13 Mg/m³
SG   Pnma, No. 62

a b c (Å): 11.429 4.143 15.107
angles (deg): 90.00 90.00 90.00
Element x y z (fractional)
Zr: 0.056 0.250 0.246
Zr: 0.444 0.750 0.746
Zr: 0.556 0.250 0.254
Zr: 0.944 0.750 0.754
Tl: 0.220 0.750 0.513
Tl: 0.280 0.250 0.013
Tl: 0.720 0.750 0.987
Tl: 0.780 0.250 0.487
Te: 0.022 0.250 0.626
Te: 0.053 0.750 0.106
Te: 0.218 0.750 0.824
Te: 0.282 0.250 0.324
Te: 0.447 0.250 0.606
Te: 0.478 0.750 0.126
Te: 0.522 0.250 0.874
Te: 0.553 0.750 0.394
Te: 0.718 0.750 0.676
Te: 0.782 0.250 0.176
Te: 0.947 0.250 0.894
Te: 0.978 0.750 0.374
Au: 0.246 0.250 0.701
Au: 0.254 0.750 0.201
Au: 0.746 0.250 0.799
Au: 0.754 0.750 0.299

***

## y
Here is a relaxed structure of ZrTlTe3Au from OQMD via LeMat-Bulk. Energies are from GGA-PBE.

Summary:
Calculated density   8.37 Mg/m³
SG   Cmcm, No. 63

a b c (Å): 8.001 8.001 10.959
angles (deg): 90.00 90.00 150.31
Element x y z (fractional)
Zr: 0.000 0.000 0.000
Zr: 0.000 0.000 0.500
Tl: 0.233 0.767 0.750
Tl: 0.767 0.233 0.250
Te: 0.080 0.920 0.250
Te: 0.364 0.636 0.038
Te: 0.364 0.636 0.462
Te: 0.636 0.364 0.538
Te: 0.636 0.364 0.962
Te: 0.920 0.080 0.750
Au: 0.459 0.541 0.250
Au: 0.541 0.459 0.750

***

The most stable of them is w.